First-principles (PBE) data for an optimized crystal structure of ScOs2Au, as listed in the Alexandria database.

Cell: 4.091 3.956 3.956 Å, 90.00 90.00 90.00°
Positions (direct):
Au (0.500, 0.000, 0.500)
Sc (0.500, 0.500, 0.000)
Os (0.000, 0.500, 0.500)
Os (0.000, 0.000, 0.000)

Values from the calculation:
- Energy of formation from the pure elements: 8 kJ/mol of formula units
- Crystal system: tetragonal
- Energy relative to the lowest polymorph listed for this composition: 116 meV per atom